(1)
GaSnAu | the Alexandria database | PBE-GGA | relaxed; DFT total energy = -3.55 eV/atom; symmetry = Pnma, No. 62
1.0
-5.5567 6.3988 0.8011
-0.4323 -0.9071 4.2461
5.5509 4.6258 1.5534
Au Ga Sn
4 4 4
direct
0.1219 0.7500 0.5810
0.3781 0.2500 0.0810
0.8781 0.2500 0.4190
0.6219 0.7500 0.9190
0.5019 0.7500 0.2475
0.9981 0.2500 0.7475
0.4981 0.2500 0.7525
0.0019 0.7500 0.2525
0.3026 0.2500 0.4522
0.6974 0.7500 0.5478
0.8026 0.2500 0.0478
0.1974 0.7500 0.9522



(2)
MgCuSi | the Alexandria database | PBE-GGA | relaxed; formation energy (no corrections) = 0.2 eV/f.u.; symmetry = Imm2, No. 44
1.0
5.0490 0.1590 0.0184
2.7916 4.2100 -0.0184
-3.6221 -2.7196 2.2365
Mg Si Cu
1 1 1
direct
0.3336 0.3336 0.0000
0.6422 0.6422 0.0000
0.0242 0.0242 0.0000



(3)
Mg2InSnRh | the Alexandria database | PBE-GGA | relaxed; energy above the lowest structure with this stoichiometry = 0 meV/atom; symmetry = Imm2, No. 44
1.0
3.3076 0.0000 0.0000
0.0000 4.7841 0.0000
-1.6538 -2.3921 6.6462
Mg Sn Rh In
2 1 1 1
direct
0.2618 0.2618 0.5236
0.9324 0.9324 0.8647
0.7051 0.7051 0.4103
0.5981 0.0981 0.1963
0.4856 0.4856 0.9713



(4)
Tb2Pr2Ho3 | the Alexandria database | PBE-GGA | relaxed; energy above the lowest structure with this stoichiometry = 0 meV/atom; symmetry = C2/m, No. 12
1.0
3.5192 0.0000 0.0000
0.0000 8.5549 -0.7720
-1.7596 -3.5951 8.0651
Pr Ho Tb
2 3 2
direct
0.4324 0.0868 0.8649
0.5676 0.9132 0.1351
0.7883 0.2003 0.5767
0.2117 0.7997 0.4233
0.0000 0.5000 0.0000
0.1507 0.3365 0.3014
0.8493 0.6635 0.6986



(5)
Pm2SmY3P6 | the Alexandria database | PBE-GGA | relaxed; DFT total energy = -7.10 eV/atom; symmetry = C2/m, No. 12
1.0
7.0490 -0.0004 0.0014
-3.5232 6.1054 0.0014
-1.1752 -2.0348 6.6428
P Y Pm Sm
6 3 2 1
direct
0.0854 0.4180 0.2563
0.2471 0.2471 0.7436
0.4180 0.0854 0.2563
0.9146 0.5820 0.7437
0.7529 0.7529 0.2564
0.5820 0.9146 0.7437
0.8332 0.1668 0.5000
0.1668 0.8332 0.5000
0.5000 0.5000 0.5000
0.6666 0.3334 0.0000
0.3334 0.6666 0.0000
0.0000 0.0000 0.0000



(6)
ScW4 | the Alexandria database | PBE-GGA | relaxed; energy above the lowest structure with this stoichiometry = 0 meV/atom; symmetry = I4/m, No. 87
1.0
0.1920 -4.9725 2.0331
1.1895 5.1735 0.8465
-5.2928 0.6044 0.7189
W Sc
4 1
direct
0.1894 0.3922 0.5817
0.6078 0.1894 0.7972
0.3922 0.8106 0.2028
0.8106 0.6078 0.4183
0.0000 0.0000 0.0000



(7)
B2HPt6 | the Alexandria database | PBE-GGA | relaxed; DFT total energy = -5.99 eV/atom; symmetry = C2/c, No. 15
1.0
5.4098 -0.0536 -0.6144
-0.9972 6.5556 -1.2948
-0.1527 -0.3590 6.7450
Pt B H
12 4 2
direct
0.5331 0.3335 0.0851
0.4947 0.9947 0.7449
0.4880 0.3361 0.5806
0.9947 0.7449 0.9947
0.0331 0.0851 0.3335
0.5053 0.0053 0.2551
0.9669 0.9149 0.6665
0.4669 0.6665 0.9149
0.0053 0.2551 0.0053
0.9880 0.5806 0.3361
0.5120 0.6639 0.4194
0.0120 0.4194 0.6639
0.2615 0.5469 0.1246
0.2385 0.8754 0.4531
0.7385 0.4531 0.8754
0.7615 0.1246 0.5469
0.7500 0.8840 0.1160
0.2500 0.1160 0.8840



(8)
Tb5HfN6 | the Alexandria database | PBE-GGA | relaxed; formation energy (no corrections) = -20.6 eV/f.u.; symmetry = C2/m, No. 12
1.0
5.8867 0.1443 0.8947
1.4470 4.9960 2.9125
0.0993 0.0549 5.9572
Tb N Hf
5 6 1
direct
0.0000 0.3333 0.3334
0.0000 0.6667 0.6666
0.5000 0.1659 0.6682
0.5000 0.5000 0.0000
0.5000 0.8341 0.3318
0.2387 0.6052 0.3152
0.7613 0.0796 0.3152
0.7597 0.7646 0.0000
0.2387 0.9204 0.6848
0.2403 0.2354 0.0000
0.7613 0.3948 0.6848
0.0000 0.0000 0.0000



(9)
Rb3Th3NpSe8 | the Alexandria database | PBE-GGA | relaxed; formation energy (no corrections) = -22.5 eV/f.u.; symmetry = R-3m, No. 166
1.0
8.5441 0.0000 0.0000
-4.2720 7.3983 -0.0310
0.0000 -4.8986 8.2404
Se Rb Np Th
8 3 1 3
direct
0.7312 0.9645 0.6975
0.2648 0.5296 0.2946
0.2688 0.0355 0.3025
0.7352 0.4704 0.7054
0.7667 0.5334 0.3024
0.2333 0.4666 0.6976
0.7667 0.0355 0.3025
0.2333 0.9645 0.6975
0.5000 0.5000 0.0000
0.0000 0.5000 0.0000
0.0000 0.0000 0.0000
0.0000 0.0000 0.5000
0.5000 0.0000 0.5000
0.0000 0.5000 0.5000
0.5000 0.5000 0.5000



(10)
La4InAu | the Alexandria database | PBE-GGA | relaxed; energy above the lowest structure with this stoichiometry = 0 meV/atom; symmetry = P2_1/m, No. 11
1.0
1.5487 2.9294 -4.6238
-2.6017 -5.3396 -4.2543
-9.3039 1.8980 3.3076
La Au In
8 2 2
direct
0.0948 0.5226 0.7749
0.9052 0.0226 0.2251
0.0948 0.9774 0.7749
0.6228 0.2500 0.4493
0.3334 0.7500 0.1243
0.6666 0.2500 0.8757
0.9052 0.4774 0.2251
0.3772 0.7500 0.5507
0.7884 0.7500 0.4446
0.2116 0.2500 0.5554
0.3129 0.2500 0.0851
0.6871 0.7500 0.9149



(11)
LaNiHg | the Alexandria database | PBE-GGA | relaxed; DFT total energy = -3.99 eV/atom; symmetry = P3m1, No. 156
1.0
4.5718 0.0000 0.0000
-2.2859 3.9593 0.0000
0.0000 0.0000 3.9272
La Ni Hg
1 1 1
direct
0.6667 0.3333 0.3343
0.3333 0.6667 0.8314
0.0000 0.0000 0.8342



(12)
KCaCe2Cl8 | the Alexandria database | PBE-GGA | relaxed; formation energy (no corrections) = -25.8 eV/f.u.; symmetry = P2/m, No. 10
1.0
-0.1651 -3.7622 -5.7580
5.7388 2.6641 -2.1366
4.4012 -6.2875 3.9817
Ce Cl Ca K
2 8 1 1
direct
0.5000 0.5000 0.7639
0.5000 0.5000 0.2361
0.8222 0.2297 0.2230
0.3164 0.2656 0.0000
0.8223 0.2297 0.7770
0.6514 0.7046 0.5000
0.6836 0.7344 0.0000
0.3486 0.2954 0.5000
0.1777 0.7703 0.2230
0.1778 0.7703 0.7770
0.0000 0.0000 0.0000
0.0000 0.0000 0.5000



(13)
ErTh2TlC | the Alexandria database | PBE-GGA | relaxed; DFT total energy = -6.50 eV/atom; symmetry = P4/mmm, No. 123
1.0
4.9359 0.0000 0.0000
0.0000 5.0834 0.0000
0.0000 0.0000 5.0834
Tl Th Er C
1 2 1 1
direct
0.5000 0.5000 0.5000
0.0000 0.0000 0.5000
0.0000 0.5000 0.0000
0.5000 0.0000 0.0000
0.0000 0.0000 0.0000



(14)
La12Pm5Dy2 | the Alexandria database | PBE-GGA | relaxed; energy above the lowest structure with this stoichiometry = 65 meV/atom; symmetry = C2/m, No. 12
1.0
7.6403 0.0000 0.0000
-3.8201 9.4480 4.7518
0.0000 1.2779 10.1159
Pm Dy La
5 2 12
direct
0.1736 0.3472 0.8173
0.3235 0.6469 0.1579
0.0000 0.0000 0.5000
0.8264 0.6528 0.1827
0.6765 0.3531 0.8421
0.6999 0.0000 0.0000
0.3001 0.0000 0.0000
0.0055 0.0110 0.2021
0.5910 0.6813 0.4717
0.5996 0.6662 0.8350
0.4004 0.3338 0.1650
0.9945 0.9890 0.7979
0.4090 0.3187 0.5283
0.0665 0.6662 0.8350
0.0903 0.6813 0.4717
0.4881 0.9761 0.6855
0.9335 0.3338 0.1650
0.9097 0.3187 0.5283
0.5119 0.0239 0.3145



(15)
Na2TiPS5 | the Alexandria database | PBE-GGA | relaxed; formation energy (no corrections) = -7.9 eV/f.u.; symmetry = Cmc2_1, No. 36
1.0
-2.3044 1.8293 -2.2966
-5.6041 -4.6693 4.9370
-0.6438 9.2251 7.9941
P Na S Ti
2 4 10 2
direct
0.4308 0.8616 0.4223
0.5692 0.1384 0.9223
0.1197 0.2395 0.3274
0.8718 0.7436 0.1739
0.8803 0.7605 0.8274
0.1282 0.2564 0.6739
0.3113 0.6227 0.3952
0.9485 0.8970 0.5117
0.4873 0.9746 0.2787
0.6612 0.3224 0.5029
0.0515 0.1030 0.0117
0.5127 0.0254 0.7787
0.3018 0.6036 0.6681
0.6982 0.3964 0.1681
0.6887 0.3773 0.8952
0.3388 0.6776 0.0029
0.7869 0.5739 0.5437
0.2131 0.4261 0.0437



(16)
LiCeDyLu | the Alexandria database | PBE-GGA | relaxed; DFT total energy = -4.02 eV/atom; symmetry = F-43m, No. 216
1.0
-0.7727 -5.2265 1.2608
3.8926 -2.7761 2.5777
-0.6910 -1.4699 5.1831
Li Dy Lu Ce
1 1 1 1
direct
0.7500 0.7500 0.7500
0.5000 0.5000 0.5000
0.2500 0.2500 0.2500
0.0000 0.0000 0.0000



(17)
Tb2Ce2Ho7 | the Alexandria database | PBE-GGA | relaxed; energy above the lowest structure with this stoichiometry = 0 meV/atom; symmetry = C2/m, No. 12
1.0
5.7682 5.4936 0.5718
-5.7682 5.4936 0.5718
0.0000 1.7254 5.7037
Tb Ho Ce
2 7 2
direct
0.2299 0.2299 0.4123
0.7701 0.7701 0.5877
0.0000 0.0000 0.0000
0.5905 0.0650 0.1725
0.4075 0.4075 0.8061
0.4095 0.9350 0.8275
0.0650 0.5905 0.1725
0.5925 0.5925 0.1939
0.9350 0.4095 0.8275
0.7848 0.2152 0.5000
0.2152 0.7848 0.5000



(18)
LiLa2PuSe4 | the Alexandria database | PBE-GGA | relaxed; formation energy (no corrections) = -13.8 eV/f.u.; symmetry = P2/m, No. 10
1.0
4.2446 0.0000 0.0000
0.0000 7.2424 -0.0896
0.0000 2.5987 6.8735
Se La Li Pu
4 2 1 1
direct
0.0000 0.7361 0.7587
0.5000 0.2641 0.7488
0.0000 0.2639 0.2413
0.5000 0.7359 0.2512
0.5000 0.0000 0.5000
0.0000 0.0000 0.0000
0.5000 0.5000 0.0000
0.0000 0.5000 0.5000



(19)
Tm6CdCu | the Alexandria database | PBE-GGA | relaxed; DFT total energy = -3.82 eV/atom; symmetry = R-3, No. 148
1.0
7.0335 0.0105 0.0071
3.5104 6.0994 0.0126
3.5008 2.0278 5.5718
Tm Cd Cu
6 1 1
direct
0.5639 0.2276 0.2410
0.0327 0.4361 0.7590
0.2279 0.9679 0.2411
0.7721 0.0321 0.7589
0.4361 0.7724 0.7590
0.9673 0.5639 0.2410
0.5000 0.5000 0.5000
0.0000 0.0000 0.0000



(20)
Ni2OsSe | the Alexandria database | PBE-GGA | relaxed; formation energy (no corrections) = 1.9 eV/f.u.; symmetry = P4/mmm, No. 123
1.0
-2.3966 -1.6153 2.3810
2.8741 -1.4000 1.9432
0.0519 3.0711 2.1358
Ni Se Os
2 1 1
direct
0.0000 0.5000 0.5000
0.0000 0.0000 0.0000
0.5000 0.0000 0.5000
0.5000 0.5000 0.0000



Number 1: DOS(E_F) 0.413 states/eV/atom. Number 2: DOS(E_F) 0.405 states/eV/atom. Number 3: DOS(E_F) 0.462 states/eV/atom. Number 4: DOS(E_F) 1.542 states/eV/atom. Number 5: DOS(E_F) 0.133 states/eV/atom. Number 6: DOS(E_F) 0.679 states/eV/atom. Number 7: DOS(E_F) 0.424 states/eV/atom. Number 8: DOS(E_F) 0.145 states/eV/atom. Number 9: DOS(E_F) 0.958 states/eV/atom. Number 10: DOS(E_F) 1.151 states/eV/atom. Number 11: DOS(E_F) 1.229 states/eV/atom. Number 12: DOS(E_F) 1.274 states/eV/atom. Number 13: DOS(E_F) 0.537 states/eV/atom. Number 14: DOS(E_F) 1.714 states/eV/atom. Number 15: DOS(E_F) 0.217 states/eV/atom. Number 16: DOS(E_F) 2.098 states/eV/atom. Number 17: DOS(E_F) 2.139 states/eV/atom. Number 18: DOS(E_F) 1.773 states/eV/atom. Number 19: DOS(E_F) 1.151 states/eV/atom. Number 20: DOS(E_F) 1.040 states/eV/atom.